[1]
{"formula": "PmPr12Sm7", "functional": "GGA-PBE", "state": "optimized geometry", "lattice": [[7.7201, 4.4572, 3.4453], [-7.7201, 4.4572, 3.4453], [0.0000, -8.9144, 3.4453]], "species": ["Pm", "Pr", "Pr", "Pr", "Pr", "Pr", "Pr", "Pr", "Pr", "Pr", "Pr", "Pr", "Pr", "Sm", "Sm", "Sm", "Sm", "Sm", "Sm", "Sm"], "fractional_positions": [[0.0000, 0.0000, 0.0000], [0.0516, 0.4059, 0.2952], [0.2231, 0.3806, 0.6726], [0.2952, 0.0516, 0.4059], [0.3274, 0.7769, 0.6194], [0.3806, 0.6726, 0.2231], [0.4059, 0.2952, 0.0516], [0.5941, 0.7048, 0.9484], [0.6194, 0.3274, 0.7769], [0.6726, 0.2231, 0.3806], [0.7048, 0.9484, 0.5941], [0.7769, 0.6194, 0.3274], [0.9484, 0.5941, 0.7048], [0.0074, 0.3203, 0.8939], [0.1061, 0.9926, 0.6797], [0.3203, 0.8939, 0.0074], [0.5000, 0.5000, 0.5000], [0.6797, 0.1061, 0.9926], [0.8939, 0.0074, 0.3203], [0.9926, 0.6797, 0.1061]], "total_energy_ev_per_fu": -92.368}

***

[2]
{"formula": "Pm3Pr4Sm4", "functional": "GGA-PBE", "state": "optimized geometry", "lattice": [[-1.8275, 4.8273, 11.1603], [1.8275, -4.8273, 11.1603], [1.8275, 4.8273, -11.1603]], "species": ["Pm", "Pm", "Pm", "Pr", "Pr", "Pr", "Pr", "Sm", "Sm", "Sm", "Sm"], "fractional_positions": [[0.0000, 0.0000, 0.0000], [0.3926, 0.8926, 0.5000], [0.6074, 0.1074, 0.5000], [0.0313, 0.3548, 0.6765], [0.3216, 0.6452, 0.6765], [0.6784, 0.3548, 0.3235], [0.9687, 0.6452, 0.3235], [0.2606, 0.2606, 0.0000], [0.3155, 0.5000, 0.8155], [0.6845, 0.5000, 0.1845], [0.7394, 0.7394, 0.0000]], "total_energy_ev_per_fu": -50.855}

***

[3]
{"formula": "PmPr2Sm", "functional": "GGA-PBE", "state": "optimized geometry", "lattice": [[3.6782, 0.0000, 0.0000], [0.0000, 3.6782, 0.0000], [0.0000, 0.0000, 10.4011]], "species": ["Pm", "Pr", "Pr", "Sm"], "fractional_positions": [[0.0000, 0.0000, 0.0000], [0.5000, 0.5000, 0.2507], [0.5000, 0.5000, 0.7493], [0.0000, 0.0000, 0.5000]], "total_energy_ev_per_fu": -18.974}

***

[4]
{"formula": "Pm4PrSm3", "functional": "GGA-PBE", "state": "optimized geometry", "lattice": [[11.8059, 0.0000, 0.0000], [0.0000, 7.3748, 0.0000], [0.0000, 0.0000, 6.3794]], "species": ["Pm", "Pm", "Pm", "Pm", "Pm", "Pm", "Pm", "Pm", "Pr", "Pr", "Sm", "Sm", "Sm", "Sm", "Sm", "Sm"], "fractional_positions": [[0.0000, 0.1245, 0.0000], [0.0000, 0.8748, 0.4991], [0.2490, 0.8751, 0.8318], [0.2510, 0.1249, 0.3318], [0.5000, 0.1252, 0.9991], [0.5000, 0.8755, 0.5000], [0.7490, 0.1249, 0.3318], [0.7510, 0.8751, 0.8318], [0.0000, 0.3750, 0.4987], [0.5000, 0.6250, 0.9987], [0.0000, 0.6249, 0.9988], [0.2499, 0.3747, 0.8316], [0.2501, 0.6253, 0.3316], [0.5000, 0.3751, 0.4988], [0.7501, 0.3747, 0.8316], [0.7499, 0.6253, 0.3316]], "total_energy_ev_per_fu": -37.684}

***

[5]
{"formula": "Pm3Pr3Sm", "functional": "GGA-PBE", "state": "optimized geometry", "lattice": [[4.4341, 2.5600, 7.4777], [-4.4341, 2.5600, 7.4777], [0.0000, -5.1201, 7.4777]], "species": ["Pm", "Pm", "Pm", "Pm", "Pm", "Pm", "Pr", "Pr", "Pr", "Pr", "Pr", "Pr", "Sm", "Sm"], "fractional_positions": [[0.0621, 0.8212, 0.2911], [0.1788, 0.7089, 0.9379], [0.2911, 0.0621, 0.8212], [0.7089, 0.9379, 0.1788], [0.8212, 0.2911, 0.0621], [0.9379, 0.1788, 0.7089], [0.0698, 0.5664, 0.7199], [0.2801, 0.9302, 0.4336], [0.4336, 0.2801, 0.9302], [0.5664, 0.7199, 0.0698], [0.7199, 0.0698, 0.5664], [0.9302, 0.4336, 0.2801], [0.3456, 0.3456, 0.3456], [0.6544, 0.6544, 0.6544]], "total_energy_ev_per_fu": -31.895}

***

[6]
{"formula": "Pm5Pr2Sm", "functional": "GGA-PBE", "state": "optimized geometry", "lattice": [[8.3585, -5.1048, 0.0000], [8.3585, 5.1048, 0.0000], [-1.1022, 0.0000, 6.5575]], "species": ["Pm", "Pm", "Pm", "Pm", "Pm", "Pm", "Pm", "Pm", "Pm", "Pm", "Pr", "Pr", "Pr", "Pr", "Sm", "Sm"], "fractional_positions": [[0.0619, 0.9381, 0.7500], [0.1162, 0.2886, 0.0245], [0.2886, 0.1162, 0.5245], [0.3134, 0.4920, 0.8482], [0.4920, 0.3134, 0.3482], [0.5080, 0.6866, 0.6518], [0.6866, 0.5080, 0.1518], [0.7114, 0.8838, 0.4755], [0.8838, 0.7114, 0.9755], [0.9381, 0.0619, 0.2500], [0.1752, 0.6631, 0.3707], [0.3369, 0.8248, 0.1293], [0.6631, 0.1752, 0.8707], [0.8248, 0.3369, 0.6293], [0.0000, 0.5000, 0.5000], [0.5000, 0.0000, 0.0000]], "total_energy_ev_per_fu": -36.837}

***

How do the records compare in spin magnetization? In the order shown, they have 0.00 0.00 0.00 0.00 0.00 0.00 μB/cell.